VASP calculation (GGA-PBE) on a relaxed structure of CaCeY.

Structure (POSCAR):
```
CaCeY
1.0
-1.515 3.146 -0.906
-1.381 -1.957 2.697
5.407 4.299 5.888
Y Ca Ce
1 1 1
direct
0.667 0.333 0.347
0.000 0.000 0.000
0.333 0.667 0.653
```

Volume (A^3/atom): 34.09
Space-group type: P3m1
DOS(E_F) (states/eV/atom): 2.260
E above lowest polymorph (meV/atom): 0

VASP calculation (GGA-PBE) on a relaxed structure of Be3ZnS.

Structure (POSCAR):
```
Be3ZnS
1.0
-0.495 -3.623 -1.810
3.716 -1.132 1.249
-1.612 -1.497 3.437
Be Zn S
3 1 1
direct
0.000 0.500 0.000
0.000 0.000 0.500
0.500 0.000 0.000
0.500 0.500 0.500
0.000 0.000 0.000
```

Volume (A^3/atom): 13.59
Space-group type: Pm-3m
Formation energy (no corrections) (eV/atom): 0.683
DOS(E_F) (states/eV/atom): 0.205
E above lowest polymorph (meV/atom): 0

VASP calculation (GGA-PBE) on a relaxed structure of PBr2.

Structure (POSCAR):
```
PBr2
1.0
1.815 7.505 -0.058
-1.815 7.505 -0.058
0.000 2.822 7.481
P Br
2 4
direct
0.479 0.479 0.175
0.521 0.521 0.825
0.849 0.849 0.254
0.098 0.098 0.192
0.151 0.151 0.746
0.902 0.902 0.808
```

Volume (A^3/atom): 34.07
Space-group type: C2/m
Formation energy (no corrections) (eV/atom): -0.029

Q: The highest volume belongs to which entry?
A: CaCeY

Q: Among the records above, which one has the lowest volume?
A: Be3ZnS

Q: The highest volume belongs to which entry?
A: CaCeY

Q: Which of these has the highest volume?
A: CaCeY